No. 1
Here is a relaxed structure of YSc2H2 from Alexandria via LeMat-Bulk. Energies are from PBE-GGA.

Geometry as CIF:
```
data_YSc2H2
_chemical_formula_sum 'Y2 Sc4 H4'
_cell_length_a 3.3170
_cell_length_b 3.3170
_cell_length_c 15.5946
_cell_angle_alpha 90.00
_cell_angle_beta 90.00
_cell_angle_gamma 90.00
_space_group_name_H-M_alt 'I 4/m m m'
_space_group_IT_number 139
_space_group_name_Hall '-I 4 2'
loop_
_atom_site_label
_atom_site_type_symbol
_atom_site_fract_x
_atom_site_fract_y
_atom_site_fract_z
Y1 Y 0.0000 0.0000 0.0000
Sc1 Sc 0.0000 0.0000 0.3254
H1 H 0.0000 0.5000 0.2500
```

Properties
- calculated total energy (eV for the cell shown) = -55.1

***

No. 2
Here is a relaxed structure of YScH2 from Alexandria via LeMat-Bulk. Energies are from PBE-GGA.

Geometry as CIF:
```
data_YScH2
_chemical_formula_sum 'Y4 Sc4 H8'
_cell_length_a 4.9534
_cell_length_b 4.9534
_cell_length_c 9.9794
_cell_angle_alpha 90.00
_cell_angle_beta 90.00
_cell_angle_gamma 90.00
_space_group_name_H-M_alt 'I -4 2 d'
_space_group_IT_number 122
_space_group_name_Hall 'I -4 2bw'
loop_
_atom_site_label
_atom_site_type_symbol
_atom_site_fract_x
_atom_site_fract_y
_atom_site_fract_z
Y1 Y 0.0000 0.0000 0.0000
Sc1 Sc 0.0000 0.0000 0.5000
H1 H 0.2259 0.2500 0.6250
```

Properties
- ΔE to the lowest computed polymorph (meV/atom) = 63.8
- calculated total energy (eV for the cell shown) = -84.7

***

No. 3
Here is a relaxed structure of Y3Sc5H12 from Alexandria via LeMat-Bulk. Energies are from PBE-GGA.

Geometry as CIF:
```
data_Y3Sc5H12
_chemical_formula_sum 'Y24 Sc40 H96'
_cell_length_a 12.4076
_cell_length_b 12.4076
_cell_length_c 12.4076
_cell_angle_alpha 90.00
_cell_angle_beta 90.00
_cell_angle_gamma 90.00
_space_group_name_H-M_alt 'I a -3 d'
_space_group_IT_number 230
_space_group_name_Hall '-I 4bd 2c 3'
loop_
_atom_site_label
_atom_site_type_symbol
_atom_site_fract_x
_atom_site_fract_y
_atom_site_fract_z
Y1 Y 0.0000 0.2500 0.1250
Sc1 Sc 0.0000 0.0000 0.0000
Sc2 Sc 0.0000 0.2500 0.3750
H1 H 0.0108 0.0638 0.6519
```

Properties
- calculated total energy (eV for the cell shown) = -809.1

***

No. 4
Here is a relaxed structure of YSc2H from Alexandria via LeMat-Bulk. Energies are from PBE-GGA.

Geometry as CIF:
```
data_YSc2H
_chemical_formula_sum 'Y1 Sc2 H1'
_cell_length_a 3.1511
_cell_length_b 3.1511
_cell_length_c 8.1220
_cell_angle_alpha 90.00
_cell_angle_beta 90.00
_cell_angle_gamma 90.00
_space_group_name_H-M_alt 'P 4/m m m'
_space_group_IT_number 123
_space_group_name_Hall '-P 4 2'
loop_
_atom_site_label
_atom_site_type_symbol
_atom_site_fract_x
_atom_site_fract_y
_atom_site_fract_z
Y1 Y 0.0000 0.0000 0.0000
Sc1 Sc 0.5000 0.5000 0.3173
H1 H 0.0000 0.0000 0.5000
```

Properties
- ΔE to the lowest computed polymorph (meV/atom) = 356.1
- calculated total energy (eV for the cell shown) = -21.8

***

No. 5
Here is a relaxed structure of Y2Sc4H from Alexandria via LeMat-Bulk. Energies are from PBE-GGA.

Geometry as CIF:
```
data_Y2Sc4H
_chemical_formula_sum 'Y4 Sc8 H2'
_cell_length_a 4.5321
_cell_length_b 4.5321
_cell_length_c 16.4131
_cell_angle_alpha 90.00
_cell_angle_beta 90.00
_cell_angle_gamma 90.00
_space_group_name_H-M_alt 'I 4/m m m'
_space_group_IT_number 139
_space_group_name_Hall '-I 4 2'
loop_
_atom_site_label
_atom_site_type_symbol
_atom_site_fract_x
_atom_site_fract_y
_atom_site_fract_z
Y1 Y 0.0000 0.0000 0.1570
Sc1 Sc 0.0000 0.0000 0.3608
Sc2 Sc 0.0000 0.5000 0.0000
H1 H 0.0000 0.0000 0.5000
```

Properties
- calculated total energy (eV for the cell shown) = -82.3

***

No. 6
Here is a relaxed structure of YSc3H from Alexandria via LeMat-Bulk. Energies are from PBE-GGA.

Geometry as CIF:
```
data_YSc3H
_chemical_formula_sum 'Y1 Sc3 H1'
_cell_length_a 4.6828
_cell_length_b 4.6828
_cell_length_c 4.6828
_cell_angle_alpha 90.00
_cell_angle_beta 90.00
_cell_angle_gamma 90.00
_space_group_name_H-M_alt 'P m -3 m'
_space_group_IT_number 221
_space_group_name_Hall '-P 4 2 3'
loop_
_atom_site_label
_atom_site_type_symbol
_atom_site_fract_x
_atom_site_fract_y
_atom_site_fract_z
Y1 Y 0.0000 0.0000 0.0000
Sc1 Sc 0.0000 0.5000 0.5000
H1 H 0.5000 0.5000 0.5000
```

Properties
- ΔE to the lowest computed polymorph (meV/atom) = 0.0
- calculated total energy (eV for the cell shown) = -29.4

***

No. 7
Here is a relaxed structure of YScH2 from Alexandria via LeMat-Bulk. Energies are from PBE-GGA.

Geometry as CIF:
```
data_YScH2
_chemical_formula_sum 'Y3 Sc3 H6'
_cell_length_a 3.4349
_cell_length_b 3.4349
_cell_length_c 17.2338
_cell_angle_alpha 90.00
_cell_angle_beta 90.00
_cell_angle_gamma 120.00
_space_group_name_H-M_alt 'R -3 m'
_space_group_IT_number 166
_space_group_name_Hall '-R 3 2"'
loop_
_atom_site_label
_atom_site_type_symbol
_atom_site_fract_x
_atom_site_fract_y
_atom_site_fract_z
Y1 Y 0.0000 0.0000 0.0000
Sc1 Sc 0.0000 0.0000 0.5000
H1 H 0.0000 0.0000 0.1287
```

Properties
- ΔE to the lowest computed polymorph (meV/atom) = 0.0
- calculated total energy (eV for the cell shown) = -64.3

***

No. 8
Here is a relaxed structure of YScH2 from Alexandria via LeMat-Bulk. Energies are from PBE-GGA.

Geometry as CIF:
```
data_YScH2
_chemical_formula_sum 'Y4 Sc4 H8'
_cell_length_a 6.0567
_cell_length_b 6.0567
_cell_length_c 6.0567
_cell_angle_alpha 90.00
_cell_angle_beta 90.00
_cell_angle_gamma 90.00
_space_group_name_H-M_alt 'F m -3 m'
_space_group_IT_number 225
_space_group_name_Hall '-F 4 2 3'
loop_
_atom_site_label
_atom_site_type_symbol
_atom_site_fract_x
_atom_site_fract_y
_atom_site_fract_z
Y1 Y 0.0000 0.0000 0.0000
Sc1 Sc 0.0000 0.0000 0.5000
H1 H 0.2500 0.2500 0.2500
```

Properties
- ΔE to the lowest computed polymorph (meV/atom) = 700.9
- calculated total energy (eV for the cell shown) = -74.5

***

No. 9
Here is a relaxed structure of YZrSc2H from Alexandria via LeMat-Bulk. Energies are from PBE-GGA.

Geometry as CIF:
```
data_YZrSc2H
_chemical_formula_sum 'Y1 Zr1 Sc2 H1'
_cell_length_a 4.6860
_cell_length_b 4.6860
_cell_length_c 4.5995
_cell_angle_alpha 90.00
_cell_angle_beta 90.00
_cell_angle_gamma 90.00
_space_group_name_H-M_alt 'P 4/m m m'
_space_group_IT_number 123
_space_group_name_Hall '-P 4 2'
loop_
_atom_site_label
_atom_site_type_symbol
_atom_site_fract_x
_atom_site_fract_y
_atom_site_fract_z
Y1 Y 0.0000 0.0000 0.0000
Zr1 Zr 0.5000 0.5000 0.0000
Sc1 Sc 0.0000 0.5000 0.5000
H1 H 0.5000 0.5000 0.5000
```

Properties
- ΔE to the lowest computed polymorph (meV/atom) = 2.5
- calculated total energy (eV for the cell shown) = -31.6

***

No. 10
Here is a relaxed structure of YZrSc2H from Alexandria via LeMat-Bulk. Energies are from PBE-GGA.

Geometry as CIF:
```
data_YZrSc2H
_chemical_formula_sum 'Y1 Zr1 Sc2 H1'
_cell_length_a 4.6480
_cell_length_b 4.6480
_cell_length_c 4.6885
_cell_angle_alpha 90.00
_cell_angle_beta 90.00
_cell_angle_gamma 90.00
_space_group_name_H-M_alt 'P 4/m m m'
_space_group_IT_number 123
_space_group_name_Hall '-P 4 2'
loop_
_atom_site_label
_atom_site_type_symbol
_atom_site_fract_x
_atom_site_fract_y
_atom_site_fract_z
Y1 Y 0.0000 0.0000 0.0000
Zr1 Zr 0.5000 0.5000 0.0000
Sc1 Sc 0.0000 0.5000 0.5000
H1 H 0.0000 0.0000 0.5000
```

Properties
- ΔE to the lowest computed polymorph (meV/atom) = 0.0
- calculated total energy (eV for the cell shown) = -31.6

***

No. 11
Here is a relaxed structure of Sc2ZnH from Alexandria via LeMat-Bulk. Energies are from PBE-GGA.

Geometry as CIF:
```
data_Sc2ZnH
_chemical_formula_sum 'Sc8 Zn4 H4'
_cell_length_a 6.4442
_cell_length_b 6.4442
_cell_length_c 6.4442
_cell_angle_alpha 90.00
_cell_angle_beta 90.00
_cell_angle_gamma 90.00
_space_group_name_H-M_alt 'F m -3 m'
_space_group_IT_number 225
_space_group_name_Hall '-F 4 2 3'
loop_
_atom_site_label
_atom_site_type_symbol
_atom_site_fract_x
_atom_site_fract_y
_atom_site_fract_z
Sc1 Sc 0.2500 0.2500 0.2500
Zn1 Zn 0.0000 0.0000 0.0000
H1 H 0.0000 0.0000 0.5000
```

Properties
- ΔE to the lowest computed polymorph (meV/atom) = 335.7
- calculated total energy (eV for the cell shown) = -68.2

***

No. 12
Here is a relaxed structure of Sc2ZnH from Alexandria via LeMat-Bulk. Energies are from PBE-GGA.

Geometry as CIF:
```
data_Sc2ZnH
_chemical_formula_sum 'Sc8 Zn4 H4'
_cell_length_a 6.2480
_cell_length_b 6.2480
_cell_length_c 6.7559
_cell_angle_alpha 90.00
_cell_angle_beta 90.00
_cell_angle_gamma 90.00
_space_group_name_H-M_alt 'I -4 2 d'
_space_group_IT_number 122
_space_group_name_Hall 'I -4 2bw'
loop_
_atom_site_label
_atom_site_type_symbol
_atom_site_fract_x
_atom_site_fract_y
_atom_site_fract_z
Sc1 Sc 0.1524 0.2500 0.1250
Zn1 Zn 0.0000 0.0000 0.5000
H1 H 0.0000 0.0000 0.0000
```

Properties
- ΔE to the lowest computed polymorph (meV/atom) = 0.0
- calculated total energy (eV for the cell shown) = -73.5

***

What did the tenth record say?
Here is a relaxed structure of YZrSc2H from Alexandria via LeMat-Bulk. Energies are from PBE-GGA.

Geometry as CIF:
```
data_YZrSc2H
_chemical_formula_sum 'Y1 Zr1 Sc2 H1'
_cell_length_a 4.6480
_cell_length_b 4.6480
_cell_length_c 4.6885
_cell_angle_alpha 90.00
_cell_angle_beta 90.00
_cell_angle_gamma 90.00
_space_group_name_H-M_alt 'P 4/m m m'
_space_group_IT_number 123
_space_group_name_Hall '-P 4 2'
loop_
_atom_site_label
_atom_site_type_symbol
_atom_site_fract_x
_atom_site_fract_y
_atom_site_fract_z
Y1 Y 0.0000 0.0000 0.0000
Zr1 Zr 0.5000 0.5000 0.0000
Sc1 Sc 0.0000 0.5000 0.5000
H1 H 0.0000 0.0000 0.5000
```

Properties
- ΔE to the lowest computed polymorph (meV/atom) = 0.0
- calculated total energy (eV for the cell shown) = -31.6

***

- Which of these has the lowest calculated total energy?
  Y3Sc5H12

***

- Among the records above, which one has the lowest calculated total energy?
  Y3Sc5H12

***

Copy entry 6 word for word.
Here is a relaxed structure of YSc3H from Alexandria via LeMat-Bulk. Energies are from PBE-GGA.

Geometry as CIF:
```
data_YSc3H
_chemical_formula_sum 'Y1 Sc3 H1'
_cell_length_a 4.6828
_cell_length_b 4.6828
_cell_length_c 4.6828
_cell_angle_alpha 90.00
_cell_angle_beta 90.00
_cell_angle_gamma 90.00
_space_group_name_H-M_alt 'P m -3 m'
_space_group_IT_number 221
_space_group_name_Hall '-P 4 2 3'
loop_
_atom_site_label
_atom_site_type_symbol
_atom_site_fract_x
_atom_site_fract_y
_atom_site_fract_z
Y1 Y 0.0000 0.0000 0.0000
Sc1 Sc 0.0000 0.5000 0.5000
H1 H 0.5000 0.5000 0.5000
```

Properties
- ΔE to the lowest computed polymorph (meV/atom) = 0.0
- calculated total energy (eV for the cell shown) = -29.4